[1]
Nd3Mg3Ir2Pt | OQMD | PBE | relaxed; space-group type = Amm2
1.0
4.1161 0.0000 0.0000
0.0000 6.4854 3.7446
0.0000 -6.4854 3.7446
Nd Mg Ir Pt
3 3 2 1
Direct
0.0000 0.0000 0.0000
0.0000 0.4152 0.8307
0.0000 0.8307 0.4152
0.5000 0.1715 0.4156
0.5000 0.4156 0.1715
0.5000 0.6587 0.6587
0.5000 0.0822 0.7491
0.5000 0.7491 0.0822
0.0000 0.4160 0.4160


[2]
TbNd2Mg3Ir2Pt | OQMD | PBE | relaxed; space-group type = Amm2
1.0
4.0890 0.0000 0.0000
0.0000 6.4352 3.7229
0.0000 -6.4352 3.7229
Tb Nd Mg Ir Pt
1 2 3 2 1
Direct
0.0000 0.0000 0.0000
0.0000 0.1729 0.5885
0.0000 0.5885 0.1729
0.5000 0.3413 0.3413
0.5000 0.5911 0.8340
0.5000 0.8340 0.5911
0.5000 0.2490 0.9241
0.5000 0.9241 0.2490
0.0000 0.5936 0.5936


[3]
Tb2NdMg3Ir2Pt | OQMD | PBE | relaxed; space-group type = Amm2
1.0
4.0638 0.0000 0.0000
0.0000 6.4017 3.6913
0.0000 -6.4017 3.6913
Tb Nd Mg Ir Pt
2 1 3 2 1
Direct
0.0000 0.2062 0.7938
0.0000 0.7938 0.2062
0.0000 0.3786 0.3786
0.5000 0.0381 0.0381
0.5000 0.5480 0.7967
0.5000 0.7967 0.5480
0.5000 0.1227 0.4626
0.5000 0.4626 0.1227
0.0000 0.7988 0.7988


[4]
Nd2TmMg3Ir2Pt | OQMD | PBE | relaxed; space-group type = Amm2
1.0
4.0795 0.0000 0.0000
0.0000 6.4012 3.7124
0.0000 -6.4012 3.7124
Nd Tm Mg Ir Pt
2 1 3 2 1
Direct
0.0000 0.2084 0.7916
0.0000 0.7916 0.2084
0.0000 0.6173 0.6173
0.5000 0.2112 0.4541
0.5000 0.4541 0.2112
0.5000 0.9604 0.9604
0.5000 0.5451 0.8646
0.5000 0.8646 0.5451
0.0000 0.2157 0.2157


[5]
Nd2YMg3Ir2Pt | OQMD | PBE | relaxed; space-group type = Amm2
1.0
4.0876 0.0000 0.0000
0.0000 6.4406 3.7183
0.0000 -6.4406 3.7183
Nd Y Mg Ir Pt
2 1 3 2 1
Direct
0.0000 0.2077 0.7923
0.0000 0.7923 0.2077
0.0000 0.6188 0.6188
0.5000 0.2110 0.4531
0.5000 0.4531 0.2110
0.5000 0.9596 0.9596
0.5000 0.5431 0.8696
0.5000 0.8696 0.5431
0.0000 0.2121 0.2121


[6]
TbNd2Mg3Ir3 | OQMD | PBE | relaxed; space-group type = Amm2
1.0
4.1194 0.0000 0.0000
0.0000 6.3764 3.6895
0.0000 -6.3764 3.6895
Tb Nd Mg Ir
1 2 3 3
Direct
0.0000 0.0000 0.0000
0.0000 0.1803 0.5922
0.0000 0.5922 0.1803
0.5000 0.3491 0.3491
0.5000 0.5946 0.8350
0.5000 0.8350 0.5946
0.0000 0.5970 0.5970
0.5000 0.2536 0.9284
0.5000 0.9284 0.2536


[7]
Nd3Mg3TlIr2 | OQMD | PBE | relaxed; space-group type = P-62m
1.0
7.5604 0.0000 0.0000
-3.7802 6.5475 0.0000
0.0000 0.0000 4.2841
Nd Mg Tl Ir
3 3 1 2
Direct
0.0000 0.4268 0.0000
0.4268 0.0000 0.0000
0.5732 0.5732 0.0000
0.0000 0.7411 0.5000
0.2589 0.2589 0.5000
0.7411 0.0000 0.5000
0.0000 0.0000 0.0000
0.3333 0.6667 0.5000
0.6667 0.3333 0.5000


[8]
Nd2TmMg3Ir3 | OQMD | PBE | relaxed; space-group type = Amm2
1.0
4.1140 0.0000 0.0000
0.0000 6.3381 3.6767
0.0000 -6.3381 3.6767
Nd Tm Mg Ir
2 1 3 3
Direct
0.0000 0.2064 0.7936
0.0000 0.7936 0.2064
0.0000 0.6123 0.6123
0.5000 0.2095 0.4503
0.5000 0.4503 0.2095
0.5000 0.9631 0.9631
0.0000 0.2142 0.2142
0.5000 0.5445 0.8644
0.5000 0.8644 0.5445


| no. | VASP energy (eV per atom) |
| --- | --- |
| 1 | -5.46 |
| 2 | -5.46 |
| 3 | -5.47 |
| 4 | -5.45 |
| 5 | -5.66 |
| 6 | -5.66 |
| 7 | -4.78 |
| 8 | -5.65 |